Here is a relaxed Ce2USe8 crystal from Alexandria. Energies are from PBE.

a b c (Å): 21.3484 4.2340 6.7593
angles (deg): 90.00 102.23 90.00
Closest atoms and distances in Å follow each position.
Space group C2/m (No. 12)
One atom of each set of equivalent atoms:
Ce 0.1714 0.0000 0.1360 [4 per cell]  6 Se 2.88-2.99
U 0.0000 0.5000 0.5000 [2 per cell]  6 Se 2.76-2.78
Se 0.0513 0.0000 0.7445 [4 per cell]  2 U 2.76
Se 0.0935 0.5000 0.2685 [4 per cell]  1 U 2.78, 2 Ce 2.95
Se 0.1888 0.5000 0.8632 [4 per cell]  3 Ce 2.88-2.98, 2 Se 3.12
Se 0.2305 0.0000 0.5779 [4 per cell]  2 Se 2.58

size of the total moment: 2.8 μB per cell
formation energy (no corrections): -1.094 eV per atom